Sr3LiFe2O6 (PBE with a Hubbard U, optimized geometry); energy = -5.83 eV per atom; magnetic moment = 6.99 Bohr magnetons per cell
1.0
5.883 0.000 0.000
-2.941 5.094 0.000
0.000 0.000 6.440
Sr Li Fe O
3 1 2 6
Direct
0.000 0.000 0.000 Sr
0.333 0.667 0.647 Sr
0.667 0.333 0.353 Sr
0.000 0.000 0.500 Li
0.333 0.667 0.201 Fe
0.667 0.333 0.799 Fe
0.164 0.328 0.289 O
0.164 0.836 0.289 O
0.328 0.164 0.711 O
0.672 0.836 0.289 O
0.836 0.164 0.711 O
0.836 0.672 0.711 O